VASP calculation (PBE-GGA) on a relaxed TcNiSbPt crystal.

- Offset from the most stable computed form: 0.000 eV per atom
- Volume: 248.8 Å³ per cell
- Raw total energy: -103.4 eV/cell
- Magnetization: 0.7 μB/f.u.

a b c (Å): 6.289 6.289 6.289
angles (deg): 90.00 90.00 90.00
Space group F-43m (No. 216)
Asymmetric unit:
Tc  0.000  0.000  0.000
Ni  0.000  0.000  0.500
Sb  0.250  0.250  0.250
Pt  0.250  0.250  0.750